DFT (PBE-GGA) results for a relaxed structure of CaLa2CdN.

Unit cell a=5.1286 b=5.1286 c=4.9829 alpha=90.00 beta=90.00 gamma=90.00
Closest atoms and distances in Å follow each position.
Space group P4/mmm (No. 123)
Symmetry-distinct sites (fractional):
Ca 0.0000 0.0000 0.0000 [1 per cell]  2 N 2.49
La 0.0000 0.5000 0.5000 [2 per cell]  2 N 2.56
Cd 0.5000 0.5000 0.0000 [1 per cell]  8 La 3.58, 4 Ca 3.63
N 0.0000 0.0000 0.5000 [1 per cell]  2 Ca 2.49, 4 La 2.56

Summary:
Formation energy (no corrections)   -0.69 eV/atom



DFT (PBE-GGA) results for a relaxed structure of CaLaCdNi.

Unit cell a=7.4020 b=7.4020 c=7.4020 alpha=90.00 beta=90.00 gamma=90.00
Closest atoms and distances in Å follow each position.
Space group F-43m (No. 216)
Symmetry-distinct sites (fractional):
Ca 0.0000 0.0000 0.0000 [4 per cell]  4 Cd 3.21, 4 Ni 3.21
La 0.0000 0.0000 0.5000 [4 per cell]  4 Cd 3.21, 4 Ni 3.21
Cd 0.2500 0.2500 0.7500 [4 per cell]  4 La 3.21, 4 Ca 3.21
Ni 0.2500 0.2500 0.2500 [4 per cell]  4 La 3.21, 4 Ca 3.21

Summary:
Energy of formation   -0.179 eV/atom



DFT (PBE-GGA) results for a relaxed structure of CaLaCd2Ni.

Unit cell a=5.2391 b=5.2391 c=4.9765 alpha=90.00 beta=90.00 gamma=90.00
Closest atoms and distances in Å follow each position.
Space group P4/mmm (No. 123)
Symmetry-distinct sites (fractional):
Ca 0.0000 0.0000 0.0000 [1 per cell]  8 Cd 3.61, 4 La 3.70
La 0.5000 0.5000 0.0000 [1 per cell]  2 Ni 2.49
Cd 0.0000 0.5000 0.5000 [2 per cell]  2 Ni 2.62
Ni 0.5000 0.5000 0.5000 [1 per cell]  2 La 2.49, 4 Cd 2.62

Summary:
Energy of formation   -0.214 eV/atom



DFT (PBE-GGA) results for a relaxed structure of CaLa2CdO.

Unit cell a=5.1115 b=5.1115 c=4.8903 alpha=90.00 beta=90.00 gamma=90.00
Closest atoms and distances in Å follow each position.
Space group P4/mmm (No. 123)
Symmetry-distinct sites (fractional):
Ca 0.0000 0.0000 0.0000 [1 per cell]  2 O 2.45
La 0.0000 0.5000 0.5000 [2 per cell]  2 O 2.56
Cd 0.5000 0.5000 0.0000 [1 per cell]  8 La 3.54, 4 Ca 3.61
O 0.0000 0.0000 0.5000 [1 per cell]  2 Ca 2.45, 4 La 2.56

Summary:
Formation energy (no corrections)   -1.28 eV/atom